Below is a relaxed structure of Tl2CrGaF6, with properties calculated at the PBE+U level.

a b c (Å): 6.275 8.882 6.287
angles (deg): 90.00 90.00 90.00
Space group Pmmn (No. 59, origin choice 2)
Symmetry-distinct sites (fractional):
Tl (0.250, 0.000, 0.249) x4
Cr (0.250, 0.250, 0.746) x2
Ga (0.250, 0.750, 0.751) x2
F (0.029, 0.250, 0.525) x4
F (0.029, 0.250, 0.966) x4
F (0.250, 0.029, 0.745) x4

Total DFT energy (no corrections) (eV/cell): -96.4
Total magnetization (μB/f.u.): 3.0